Entry from Alexandria via LeMat-Bulk: a PBEsol-optimized structure of YTcIr2 (SCAN).

```
data_YTcIr2
_cell_length_a 4.968
_cell_length_b 4.968
_cell_length_c 4.968
_cell_angle_alpha 132.76
_cell_angle_beta 132.76
_cell_angle_gamma 69.03
_space_group_name_H-M_alt 'P 1'
_space_group_IT_number 1
_space_group_name_Hall 'P 1'
loop_
_atom_site_label
_atom_site_fract_x
_atom_site_fract_y
_atom_site_fract_z
Y1 0.000 0.000 0.000
Tc1 0.750 0.250 0.500
Ir1 0.250 0.750 0.500
Ir2 0.500 0.500 0.000
```

Summary:
- Space group: I-4m2, No. 119
- Magnetization: 0.00 μB/cell
- Calculated formation energy: -0.12 eV per atom
- Relative energy among the computed polymorphs: 161 meV/atom